[1]
! La2Sc2Sb2C, relaxed, DFT PBE; values from VASP
! Formation energy (no corrections) (eV per atom): -0.985
&SYSTEM
  ibrav = 0, nat = 7, ntyp = 4
/
ATOMIC_SPECIES
La 138.91 La.upf
Sc 44.96 Sc.upf
Sb 121.76 Sb.upf
C 12.01 C.upf
ATOMIC_POSITIONS angstrom
La -1.3892 1.3488 1.8541
La -5.6154 2.2969 2.1565
Sc -1.6197 -1.6326 -0.0259
Sc -1.1161 1.1337 -1.6609
Sb -3.1665 3.0744 4.2263
Sb -3.8381 0.5713 -0.2157
C 0.0000 0.0000 0.0000
CELL_PARAMETERS angstrom
-2.2322 2.2673 -3.3218
-3.2394 -3.2652 -0.0518
-1.5329 4.6436 7.3843

---

[2]
! AlFeAg2, relaxed, DFT PBE; values from VASP
! ΔE_f (eV per atom): 0.166
&SYSTEM
  ibrav = 0, nat = 4, ntyp = 3
/
ATOMIC_SPECIES
Fe 55.84 Fe.upf
Ag 107.87 Ag.upf
Al 26.98 Al.upf
ATOMIC_POSITIONS angstrom
Fe 3.0187 0.2630 1.3277
Ag 0.0000 0.0000 0.0000
Ag -0.7526 2.4638 1.3300
Al 1.6494 2.2078 0.0035
CELL_PARAMETERS angstrom
5.4207 0.0069 0.0012
-2.1219 4.4086 0.0058
0.6167 0.5190 2.6542

---

[3]
! Re2Au, relaxed, DFT PBE; values from VASP
! Energy above the most stable polymorph in this dataset (meV per atom): 548
! ΔE_f (eV per atom): 0.767
&SYSTEM
  ibrav = 0, nat = 12, ntyp = 2
/
ATOMIC_SPECIES
Re 186.21 Re.upf
Au 196.97 Au.upf
ATOMIC_POSITIONS angstrom
Re 0.8969 -0.9097 -0.1200
Re 3.3237 -0.5160 0.7205
Re 14.0320 -0.8891 3.5680
Re 16.4588 -0.4953 4.4085
Re 5.0135 -0.6829 2.6400
Re 7.4402 -0.2892 3.4805
Re 9.2340 -2.1086 3.2404
Re 11.6608 -1.7149 4.0810
Au 10.4551 0.6411 3.1905
Au 6.9006 -2.0461 1.0980
Au 14.1197 0.7946 5.7940
Au 2.5546 -3.1924 0.9270
CELL_PARAMETERS angstrom
-0.6814 -0.9928 2.4325
1.1180 -4.0397 -1.3355
16.2377 2.6346 5.6240

---

Going through the records in order, we get D(E_F) values of 6.68 2.81 10.05 states/eV/cell.